Entry 1:
Re2HgMo | PBE | relaxed

Magnetic moment   0.0 μB per cell
VASP energy   -8.490 eV per atom
Space-group type   Cmm2, No. 35
Formation enthalpy at 0 K   0.517 eV/atom
Calculated density   16.59 g/cm³

Lattice parameters (Å, degrees): 2.7565 2.7565 9.4467 90.00 90.00 111.10
Atoms (fractional coordinates):
Hg  0.0000  0.0000  0.5016
Mo  0.5000  0.5000  0.7709
Re  0.0000  0.0000  0.0002
Re  0.5000  0.5000  0.2273

Entry 2:
TbPHPd | PBE | relaxed

Magnetic moment   0.0 μB per cell
VASP energy   -5.594 eV per atom
Space-group type   P3m1, No. 156
Calculated density   8.41 g/cm³

Lattice parameters (Å, degrees): 4.1959 4.1967 3.8473 90.00 90.00 120.00
Atoms (fractional coordinates):
Tb  0.5719  0.1437  0.3105
P  0.9053  0.8106  0.8064
H  0.2386  0.4772  0.3096
Pd  0.2386  0.4771  0.8127

Entry 3:
Mn2NiPt | PBE | relaxed

Magnetic moment   8.6 μB per cell
VASP energy   -7.640 eV per atom
Space-group type   Cm, No. 8
Formation enthalpy at 0 K   -0.100 eV/atom
Calculated density   10.77 g/cm³

Lattice parameters (Å, degrees): 4.8738 4.8738 4.3257 71.95 71.95 35.23
Atoms (fractional coordinates):
Mn  0.9982  0.9982  0.0378
Mn  0.7594  0.7594  0.6998
Ni  0.4930  0.4930  0.5521
Pt  0.2494  0.2494  0.2103